Entry 1:
## Re2SnHg (PBE-GGA)

Data for a geometry-optimized Re2SnHg structure.

a = 6.599 Å, b = 6.599 Å, c = 6.599 Å
α = 90.00°, β = 90.00°, γ = 90.00°
Space group F-43m (No. 216)
Inequivalent atoms, fractional coordinates:
Re (0.000, 0.000, 0.000) (multiplicity 4)
Re (0.250, 0.250, 0.250) (multiplicity 4)
Sn (0.000, 0.000, 0.500) (multiplicity 4)
Hg (0.250, 0.250, 0.750) (multiplicity 4)

Results
Crystal system ... cubic
VASP energy ... -100.3 eV/cell
V ... 287 Å³/cell
Density ... 15.99 g cm⁻³
Spin magnetization ... 0.50 μB/f.u.

Entry 2:
## ThReHg (PBE-GGA)

Data for a geometry-optimized ThReHg structure.

a = 6.771 Å, b = 6.771 Å, c = 6.771 Å
α = 90.00°, β = 90.00°, γ = 90.00°
Space group F-43m (No. 216)
Inequivalent atoms, fractional coordinates:
Th (0.000, 0.000, 0.000) (multiplicity 4)
Re (0.000, 0.000, 0.500) (multiplicity 4)
Hg (0.250, 0.250, 0.750) (multiplicity 4)

Results
Formation energy ... 0.904 eV/atom
Energy relative to the lowest polymorph listed for this composition ... 0 meV per atom
Crystal system ... cubic
VASP energy ... -69.7 eV/cell
V ... 310 Å³/cell
Density ... 13.24 g cm⁻³
Spin magnetization ... 0.04 μB/f.u.

Entry 3:
## ThReHg (PBE-GGA)

Data for a geometry-optimized ThReHg structure.

a = 6.942 Å, b = 6.942 Å, c = 6.942 Å
α = 90.00°, β = 90.00°, γ = 90.00°
Space group F-43m (No. 216)
Inequivalent atoms, fractional coordinates:
Th (0.000, 0.000, 0.000) (multiplicity 4)
Re (0.250, 0.250, 0.250) (multiplicity 4)
Hg (0.250, 0.250, 0.750) (multiplicity 4)

Results
Formation energy ... 1.119 eV/atom
Energy relative to the lowest polymorph listed for this composition ... 215 meV per atom
Crystal system ... cubic
VASP energy ... -67.1 eV/cell
V ... 334 Å³/cell
Density ... 12.29 g cm⁻³
Spin magnetization ... 0.99 μB/f.u.

Entry 4:
## UReHg (PBE-GGA)

Data for a geometry-optimized UReHg structure.

a = 6.630 Å, b = 6.630 Å, c = 6.630 Å
α = 90.00°, β = 90.00°, γ = 90.00°
Space group F-43m (No. 216)
Inequivalent atoms, fractional coordinates:
U (0.000, 0.000, 0.000) (multiplicity 4)
Re (0.250, 0.250, 0.250) (multiplicity 4)
Hg (0.250, 0.250, 0.750) (multiplicity 4)

Results
Formation energy ... 1.238 eV/atom
Energy relative to the lowest polymorph listed for this composition ... 412 meV per atom
Crystal system ... cubic
VASP energy ... -81.2 eV/cell
V ... 291 Å³/cell
Density ... 14.24 g cm⁻³
Spin magnetization ... 0.89 μB/f.u.